1.
84
Lattice="6.9816 0.0000 0.0000 0.0000 9.4148 -0.0743 0.0000 -0.0974 16.1054" Properties=species:S:1:pos:R:3 comment="LiSnPO4 PBEsol relaxed" dft_energy_ev_per_fu=-47.2 magnetic_moment_mub_per_cell=0.00 space_group="P2_1/c, No. 14" pbc="T T T"
P 5.1418 3.5712 6.8394
O 6.4236 0.2643 9.5727
Li 6.9687 2.3657 14.8206
O 1.7483 6.0427 16.0081
Sn 5.1506 0.7388 12.5894
P 5.1574 8.7976 9.3774
O 2.9328 4.2970 14.5482
P 5.3150 4.1389 1.3618
Li 0.3076 7.2182 12.4000
O 6.3968 2.9603 7.5154
O 6.6602 8.0209 2.8319
O 6.3008 3.3386 10.8832
O 3.0257 8.9830 6.5700
Li 3.5037 7.1217 6.7307
O 5.0673 7.7164 10.4836
Sn 5.3218 5.4949 4.4995
O 0.4399 1.4395 0.2979
Li 3.4779 2.1956 9.3004
O 0.5848 6.3571 8.5156
O 5.3463 5.1524 6.7386
O 1.7424 1.3840 7.9926
Li 3.1832 2.5595 4.3845
O 1.9958 4.0763 3.9863
Sn 1.6598 3.8225 11.5315
Li 3.7616 6.9549 1.2515
O 2.0399 6.1870 10.6605
O 5.2391 7.9334 8.0385
O 1.6353 4.1650 9.2925
Sn 1.6584 9.0029 9.6038
Sn 5.3174 5.8141 9.0339
Sn 5.1550 1.1554 1.0184
Sn 1.8310 8.5786 3.4417
O 1.6167 1.5141 10.9813
O 1.5765 6.2597 13.5630
O 3.9307 3.2192 7.7176
O 4.0488 5.0204 1.4828
Sn 1.8324 4.3442 1.5883
O 4.9858 5.2411 12.0448
Li 3.2200 2.3625 14.7796
P 5.3306 8.2299 14.8550
O 3.8122 3.2648 10.9217
P 1.6510 1.0875 1.1761
P 1.5691 0.8304 12.4219
O 0.6808 5.9788 5.1479
Li 0.0129 6.9517 1.2105
O 5.1261 0.3963 14.8285
O 3.0509 6.0982 8.3134
O 5.1074 3.0472 13.1396
Li 6.7107 2.1988 9.3413
O 1.9143 1.6010 5.5475
O 0.5580 9.0531 6.4583
O 1.8741 6.2702 2.8915
O 5.4050 3.0577 2.4680
P 1.9217 5.5865 4.3320
O 1.4509 1.5283 2.6450
O 4.1715 8.0947 2.7933
O 5.5306 7.7891 13.3861
P 5.4125 8.4870 3.6092
Sn 1.8266 8.1620 15.0126
O 5.3649 7.8033 5.0497
Sn 1.6642 3.5033 6.9971
O 1.4950 8.7350 12.0018
P 5.0599 3.7309 11.6990
Li 6.6740 2.0992 3.6310
P 1.6666 5.1785 14.6692
O 6.5165 5.0905 1.3712
O 0.4651 4.2269 14.6598
O 1.8555 8.9211 1.2026
O 4.0756 7.6190 15.5309
O 5.2332 3.2747 0.0229
O 6.5417 7.8779 15.7331
O 0.3214 1.2965 13.1992
P 1.8242 0.5198 6.6537
O 2.9060 1.6984 0.5001
O 3.1694 6.0526 5.1093
O 3.9559 0.3344 9.4611
O 2.8100 1.2227 13.2377
P 1.8398 5.7462 9.1916
Li 3.7984 6.7579 11.6466
O 5.4866 0.5824 4.0293
Li 0.2708 7.1186 6.6897
Sn 5.1492 4.9732 14.4428
O 4.9417 3.1304 5.3705
Sn 5.3232 0.3145 6.4272

***

2.
36
Lattice="-4.8303 2.9417 -0.0340 -7.2130 -6.0641 -5.8675 -6.9093 -5.4192 6.7913" Properties=species:S:1:pos:R:3 comment="LiSnP4O12 PBEsol relaxed" dft_energy_ev_per_fu=-128.9 magnetic_moment_mub_per_cell=0.00 relative_energy_mev_per_atom=43 space_group="C2/m, No. 12" pbc="T T T"
P -6.5517 -4.5693 -2.5026
Sn -3.6065 -3.0320 -2.9337
O -11.9332 -7.6697 2.3340
O -7.1248 -4.0623 1.9877
O -11.7508 -4.3158 2.1116
O -7.0970 -3.5463 -3.6347
O -7.1472 -5.9243 -3.1232
Li -7.3187 -3.3515 0.3463
O -9.8744 -1.7169 -2.6381
O -11.8278 -4.4793 -1.0978
Sn -3.4547 -2.7096 3.3957
O -6.9752 -5.5590 4.0470
O -9.0782 -6.8247 3.5280
O -11.8556 -4.9953 4.5245
O -4.6276 -1.7572 1.7829
O -9.7328 -1.4160 3.2681
P -12.4010 -3.9723 3.3925
Li -11.6339 -5.1901 0.5435
P -5.5287 -0.6606 -1.2787
O -14.3251 -6.7844 -0.8931
O -6.9064 -3.1415 4.3113
P -13.4240 -7.8809 2.1686
O -9.2199 -7.1256 -2.3783
O -13.7180 -8.6180 0.7682
P -6.4133 -4.2755 3.2643
P -12.5393 -4.2661 -2.3744
O -7.0195 -0.8719 -1.4441
O -12.0462 -5.4001 -3.4215
O -12.0124 -7.8380 -0.9695
O -7.2018 -4.2258 -1.2217
O -4.7033 -1.9179 -1.3718
O -5.2346 0.0764 0.1217
O -14.2494 -6.6237 2.2617
P -5.4595 -0.5139 1.6022
O -6.9402 -0.7036 1.8593
P -13.4931 -8.0277 -0.7123

***

| no. | volume (Å³ per cell) |
| --- | --- |
| 1 | 1058.6 |
| 2 | 616.0 |